(1)
Er2AgPt9: relaxed, PBE.

Values from the calculation:
- ΔE_f (eV per atom) = -0.683
- energy (Ry per atom) = -0.45655
- SG = P4/mmm

a b c (Å): 4.075 4.075 12.189
angles (deg): 90.00 90.00 90.00
Positions (direct):
Er 0.000 0.000 0.170
Er 0.000 0.000 0.830
Ag 0.000 0.000 0.500
Pt 0.000 0.500 0.000
Pt 0.000 0.500 0.338
Pt 0.000 0.500 0.662
Pt 0.500 0.000 0.000
Pt 0.500 0.000 0.338
Pt 0.500 0.000 0.662
Pt 0.500 0.500 0.169
Pt 0.500 0.500 0.500
Pt 0.500 0.500 0.831

(2)
Er4AgRu2Pt: relaxed, PBE.

Values from the calculation:
- ΔE_f (eV per atom) = -0.625
- energy (Ry per atom) = -0.46578
- SG = R-3m

a b c (Å): 8.448 8.448 8.448
angles (deg): 33.45 33.45 33.45
Positions (direct):
Er 0.123 0.123 0.123
Er 0.373 0.373 0.373
Er 0.627 0.627 0.627
Er 0.877 0.877 0.877
Ag 0.500 0.500 0.500
Ru 0.250 0.250 0.250
Ru 0.750 0.750 0.750
Pt 0.000 0.000 0.000

(3)
ErScAgPt: relaxed, PBE.

Values from the calculation:
- ΔE_f (eV per atom) = -0.780
- energy (Ry per atom) = -0.42091
- SG = F-43m

a b c (Å): 4.867 4.867 4.867
angles (deg): 60.00 60.00 60.00
Positions (direct):
Er 0.000 0.000 0.000
Sc 0.500 0.500 0.500
Ag 0.250 0.250 0.250
Pt 0.750 0.750 0.750

(4)
Er2Si4AgPt3: relaxed, PBE.

Values from the calculation:
- E_form (uncorrected) (eV per atom) = -0.903
- energy (Ry per atom) = -0.44705
- SG = P-4m2

a b c (Å): 4.184 4.184 10.014
angles (deg): 90.00 90.00 90.00
Positions (direct):
Er 0.000 0.500 0.246
Er 0.500 0.000 0.754
Si 0.000 0.000 0.000
Si 0.000 0.500 0.641
Si 0.500 0.000 0.359
Si 0.500 0.500 0.000
Ag 0.000 0.000 0.500
Pt 0.000 0.500 0.878
Pt 0.500 0.000 0.122
Pt 0.500 0.500 0.500

(5)
Er2Si3AgPt4: relaxed, PBE.

Values from the calculation:
- E_form (uncorrected) (eV per atom) = -0.905
- energy (Ry per atom) = -0.45169
- SG = P-4m2

a b c (Å): 4.034 4.034 11.012
angles (deg): 90.00 90.00 90.00
Positions (direct):
Er 0.000 0.500 0.247
Er 0.500 0.000 0.753
Si 0.000 0.500 0.872
Si 0.500 0.000 0.128
Si 0.500 0.500 0.500
Ag 0.000 0.000 0.500
Pt 0.000 0.000 0.000
Pt 0.000 0.500 0.663
Pt 0.500 0.000 0.337
Pt 0.500 0.500 0.000

(6)
ErThAgPt: relaxed, PBE.

Values from the calculation:
- ΔE_f (eV per atom) = -0.640
- energy (Ry per atom) = -0.43058
- SG = F-43m

a b c (Å): 5.110 5.110 5.110
angles (deg): 60.00 60.00 60.00
Positions (direct):
Er 0.000 0.000 0.000
Th 0.500 0.500 0.500
Ag 0.750 0.750 0.750
Pt 0.250 0.250 0.250

(7)
ErTlAgPt: relaxed, PBE.

Values from the calculation:
- ΔE_f (eV per atom) = -0.489
- energy (Ry per atom) = -0.32663
- SG = F-43m

a b c (Å): 4.893 4.893 4.893
angles (deg): 60.00 60.00 60.00
Positions (direct):
Er 0.000 0.000 0.000
Tl 0.500 0.500 0.500
Ag 0.750 0.750 0.750
Pt 0.250 0.250 0.250

(8)
Er4TlAg2Pt: relaxed, PBE.

Values from the calculation:
- ΔE_f (eV per atom) = -0.587
- energy (Ry per atom) = -0.34047
- SG = R-3m

a b c (Å): 8.818 8.818 8.818
angles (deg): 33.63 33.63 33.63
Positions (direct):
Er 0.116 0.116 0.116
Er 0.368 0.368 0.368
Er 0.632 0.632 0.632
Er 0.884 0.884 0.884
Tl 0.500 0.500 0.500
Ag 0.243 0.243 0.243
Ag 0.757 0.757 0.757
Pt 0.000 0.000 0.000

Number 1: Fermi-level density of states 1.3429 states/eV/atom. Number 2: Fermi-level density of states 0.4956 states/eV/atom. Number 3: Fermi-level density of states 0.6394 states/eV/atom. Number 4: Fermi-level density of states 0.3625 states/eV/atom. Number 5: Fermi-level density of states 0.4368 states/eV/atom. Number 6: Fermi-level density of states 1.0273 states/eV/atom. Number 7: Fermi-level density of states 0.5579 states/eV/atom. Number 8: Fermi-level density of states 0.7223 states/eV/atom.